1.
# NbZnS2N

A relaxed structure of NbZnS2N (PBE, Alexandria).

abc: 4.7156 4.7156 3.6117
angles: 90.00 90.00 90.00
Closest atoms and distances in Å follow each position.
Space group P4/mmm (No. 123)
Unique sites:
Nb1 0.0000 0.0000 0.0000 x1  8 S 2.97
Zn1 0.5000 0.5000 0.5000 x1  2 N 1.81
S1 0.0000 0.5000 0.5000 x2  2 Zn 2.36
N1 0.5000 0.5000 0.0000 x1  2 Zn 1.81

Properties
Excess energy over the best structure of this formula in the dataset (eV per formula unit): 4.18

2.
# ZrNbSN2

A relaxed structure of ZrNbSN2 (PBE, Alexandria).

abc: 4.0101 4.0101 4.8499
angles: 90.00 90.00 90.00
Closest atoms and distances in Å follow each position.
Space group P4/mmm (No. 123)
Unique sites:
Zr1 0.0000 0.0000 0.0000 x1  4 S 2.84, 8 N 3.15
Nb1 0.5000 0.5000 0.5000 x1  4 N 2.01
S1 0.5000 0.5000 0.0000 x1  2 Nb 2.42
N1 0.0000 0.5000 0.5000 x2  2 Nb 2.01

3.
# NbSbN

A relaxed structure of NbSbN (PBE, Alexandria).

abc: 10.3902 3.3082 7.3548
angles: 90.00 90.00 90.00
Closest atoms and distances in Å follow each position.
Space group Pnma (No. 62)
Unique sites:
Nb1 0.1001 0.2500 0.0824 x4  3 N 2.00-2.07
Sb1 0.1329 0.7500 0.4206 x4  3 Nb 3.01-3.02, 2 N 3.24, 2 Sb 3.31
N1 0.0989 0.7500 0.9294 x4  3 Nb 2.00-2.07

4.
# NbSbN3

A relaxed structure of NbSbN3 (PBE, Alexandria).

abc: 4.0904 4.0904 4.0904
angles: 90.00 90.00 90.00
Closest atoms and distances in Å follow each position.
Space group Pm-3m (No. 221)
Unique sites:
Nb1 0.0000 0.0000 0.0000 x1  6 N 2.05
Sb1 0.5000 0.5000 0.5000 x1  12 N 2.89
N1 0.0000 0.0000 0.5000 x3  2 Nb 2.05

| no. | formation energy without anion corrections (meV per atom) | magnetic moment (μB/cell) |
| --- | --- | --- |
| 1 | 867 | 1.97 |
| 2 | -185 | 0.25 |
| 3 | -220 | 0.00 |
| 4 | 525 | 0.00 |